1.
Compound: Rb2TbAg2S4
Source: OQMD
Functional: PBE-GGA
Structure: relaxed

Cell: 7.2843 7.2843 6.2860 Å, 90.00 90.00 129.07°
Element x y z (fractional)
1 Rb 0.0000 0.5000 0.2204
2 Rb 0.5000 0.0000 0.7796
3 Tb 0.0000 0.0000 0.5000
4 Ag 0.0000 0.0000 0.0000
5 Ag 0.5000 0.5000 0.5000
6 S 0.1421 0.3513 0.7484
7 S 0.3513 0.1421 0.2516
8 S 0.6487 0.8579 0.2516
9 S 0.8579 0.6487 0.7484

Properties
The space group is C222. As for the energy: -4.094 eV/atom.

2.
Compound: K2SbAu
Source: OQMD
Functional: PBE-GGA
Structure: relaxed

Cell: 6.6127 6.6535 6.6249 Å, 90.00 106.54 90.00°
Element x y z (fractional)
1 K 0.0000 0.0000 0.0000
2 K 0.0078 0.5000 0.3278
3 K 0.3421 0.0000 0.6566
4 K 0.6653 0.5000 0.6704
5 Sb 0.2366 0.5000 0.8965
6 Sb 0.7717 0.0000 0.4295
7 Au 0.5042 0.2496 0.1628
8 Au 0.5042 0.7504 0.1628

Properties
The space group is Pm. As for the energy: -2.920 eV/atom.

3.
Compound: PrGdAl4Ni2
Source: OQMD
Functional: PBE-GGA
Structure: relaxed

Cell: 6.9203 5.6851 5.6851 Å, 41.87 90.00 90.00°
Element x y z (fractional)
1 Pr 0.0000 0.0000 0.0000
2 Gd 0.5000 0.8872 0.8872
3 Al 0.1963 0.2790 0.2790
4 Al 0.3082 0.6100 0.6100
5 Al 0.6918 0.6100 0.6100
6 Al 0.8037 0.2790 0.2790
7 Ni 0.0000 0.7249 0.7249
8 Ni 0.5000 0.1600 0.1600

Properties
The space group is Amm2. As for the energy: -5.041 eV/atom.

4.
Compound: NaAlNiGe
Source: OQMD
Functional: PBE-GGA
Structure: relaxed

Cell: 4.4171 4.4171 4.4171 Å, 60.00 60.00 60.00°
Element x y z (fractional)
1 Na 0.0000 0.0000 0.0000
2 Al 0.2500 0.2500 0.2500
3 Ni 0.5000 0.5000 0.5000
4 Ge 0.7500 0.7500 0.7500

Properties
The space group is F-43m. The value obtained for the polymorph energy (0 for the lowest one) is 0.000 eV per atom.

5.
Compound: YPd3C
Source: OQMD
Functional: PBE-GGA
Structure: relaxed

Cell: 4.2925 4.2925 4.2925 Å, 90.00 90.00 90.00°
Element x y z (fractional)
1 Y 0.0000 0.0000 0.0000
2 Pd 0.0000 0.5000 0.5000
3 Pd 0.5000 0.0000 0.5000
4 Pd 0.5000 0.5000 0.0000
5 C 0.5000 0.5000 0.5000

Properties
The space group is Pm-3m. As for the energy: -6.494 eV/atom.

6.
Compound: Hf3ZrCu2
Source: OQMD
Functional: PBE-GGA
Structure: relaxed

Cell: 3.1839 3.1839 11.1307 Å, 90.00 90.00 90.00°
Element x y z (fractional)
1 Hf 0.0000 0.0000 0.0000
2 Hf 0.0000 0.0000 0.3109
3 Hf 0.5000 0.5000 0.4970
4 Zr 0.5000 0.5000 0.8113
5 Cu 0.0000 0.0000 0.6508
6 Cu 0.5000 0.5000 0.1536

Properties
The space group is P4mm. The formation energy is -90 kJ/mol of formula units.

7.
Compound: HoIn2Au2
Source: OQMD
Functional: PBE-GGA
Structure: relaxed

Cell: 4.4288 4.4288 11.8187 Å, 90.00 90.00 90.00°
Element x y z (fractional)
1 Ho 0.2500 0.2500 0.2429
2 Ho 0.7500 0.7500 0.7571
3 In 0.2500 0.2500 0.8643
4 In 0.2500 0.7500 0.5000
5 In 0.7500 0.2500 0.5000
6 In 0.7500 0.7500 0.1357
7 Au 0.2500 0.2500 0.6444
8 Au 0.2500 0.7500 0.0000
9 Au 0.7500 0.2500 0.0000
10 Au 0.7500 0.7500 0.3556

Properties
The space group is P4/nmm. As for the energy: -3.720 eV/atom.

8.
Compound: Hf4Nb2Cd3N3
Source: OQMD
Functional: PBE-GGA
Structure: relaxed

Cell: 5.5670 5.5670 14.9551 Å, 100.47 100.47 60.24°
Element x y z (fractional)
1 Hf 0.0267 0.1965 0.0855
2 Hf 0.1405 0.3050 0.4145
3 Hf 0.1965 0.0267 0.5855
4 Hf 0.3050 0.1405 0.9145
5 Hf 0.6950 0.8595 0.0855
6 Hf 0.8035 0.9733 0.4145
7 Hf 0.8595 0.6950 0.5855
8 Hf 0.9733 0.8035 0.9145
9 Nb 0.3634 0.5249 0.0759
10 Nb 0.4751 0.6366 0.4241
11 Nb 0.5249 0.3634 0.5759
12 Nb 0.6366 0.4751 0.9241
13 Cd 0.1038 0.8962 0.2500
14 Cd 0.2688 0.4170 0.7492
15 Cd 0.4170 0.2688 0.2492
16 Cd 0.5830 0.7312 0.7508
17 Cd 0.7312 0.5830 0.2508
18 Cd 0.8962 0.1038 0.7500
19 N 0.0000 0.5000 0.0000
20 N 0.1494 0.6754 0.5000
21 N 0.3246 0.8506 0.0000
22 N 0.5000 0.0000 0.5000
23 N 0.6754 0.1494 0.0000
24 N 0.8506 0.3246 0.5000

Properties
The space group is C2/c. As for the energy: -8.120 eV/atom.

9.
Compound: KTcB4
Source: OQMD
Functional: PBE-GGA
Structure: relaxed

Cell: 4.8479 4.8479 4.8479 Å, 143.73 109.87 81.60°
Element x y z (fractional)
1 K 0.0000 0.0000 0.0000
2 Tc 0.5000 0.5000 0.0000
3 B 0.1113 0.7658 0.3455
4 B 0.4203 0.7658 0.6545
5 B 0.5797 0.2342 0.3455
6 B 0.8887 0.2342 0.6545

Properties
The space group is Immm. The value obtained for the polymorph energy (0 for the lowest one) is 0.493 eV per atom.

10.
Compound: HoSc2In3Pt2
Source: OQMD
Functional: PBE-GGA
Structure: relaxed

Cell: 3.4463 7.5840 7.5840 Å, 120.12 90.00 90.00°
Element x y z (fractional)
1 Ho 0.0000 0.0000 0.0000
2 Sc 0.0000 0.1566 0.5793
3 Sc 0.0000 0.5793 0.1566
4 In 0.5000 0.3509 0.3509
5 In 0.5000 0.5747 0.8127
6 In 0.5000 0.8127 0.5747
7 Pt 0.5000 0.2529 0.9104
8 Pt 0.5000 0.9104 0.2529

Properties
The space group is Amm2. As for the energy: -5.544 eV/atom.

11.
Compound: PuTlAgSe3
Source: OQMD
Functional: PBE-GGA
Structure: relaxed

Cell: 7.4962 7.4962 10.7600 Å, 90.00 90.00 147.09°
Element x y z (fractional)
1 Pu 0.0000 0.0000 0.0000
2 Pu 0.0000 0.0000 0.5000
3 Tl 0.2495 0.7505 0.7500
4 Tl 0.7505 0.2495 0.2500
5 Ag 0.4603 0.5397 0.2500
6 Ag 0.5397 0.4603 0.7500
7 Se 0.0732 0.9268 0.2500
8 Se 0.3705 0.6295 0.0399
9 Se 0.3705 0.6295 0.4601
10 Se 0.6295 0.3705 0.5399
11 Se 0.6295 0.3705 0.9601
12 Se 0.9268 0.0732 0.7500

Properties
The space group is Cmcm. As for the energy: -5.801 eV/atom.

12.
Compound: BaB2Mo
Source: OQMD
Functional: PBE-GGA
Structure: relaxed

Cell: 4.5013 4.5013 4.5013 Å, 60.00 60.00 60.00°
Element x y z (fractional)
1 Ba 0.0000 0.0000 0.0000
2 B 0.5000 0.5000 0.5000
3 B 0.7500 0.7500 0.7500
4 Mo 0.2500 0.2500 0.2500

Properties
The space group is F-43m. As for the energy: -4.357 eV/atom.